No. 1
First-principles (PBE-GGA) data for V2CoPdI after structural relaxation, as listed in Alexandria.

## Properties
raw formation energy	180.4	kJ/mol of atoms

Geometry as POSCAR:
```
V2CoPdI
1.0
4.760 0.000 0.000
0.000 4.760 0.000
0.000 0.000 4.828
V Co Pd I
2 1 1 1
direct
0.000 0.500 0.000 V
0.500 0.000 0.000 V
0.000 0.000 0.500 Co
0.500 0.500 0.500 Pd
0.500 0.500 0.000 I
```



No. 2
First-principles (PBE-GGA) data for Na2TiO after structural relaxation, as listed in Alexandria.

## Properties
raw formation energy	-70.5	kJ/mol of atoms

Geometry as POSCAR:
```
Na2TiO
1.0
-5.035 5.035 1.911
5.035 -5.035 1.911
5.035 5.035 -1.911
Na Ti O
4 2 2
direct
0.375 0.022 0.147 Na
0.772 0.625 0.647 Na
0.875 0.228 0.853 Na
0.978 0.125 0.353 Na
0.250 0.750 0.500 Ti
0.500 0.500 0.000 Ti
0.000 0.000 0.000 O
0.750 0.250 0.500 O
```



No. 3
First-principles (PBE-GGA) data for PaNbV2 after structural relaxation, as listed in Alexandria.

## Properties
energy relative to the lowest polymorph listed for this composition	0.0000	eV per atom
formation energy	0.4	eV/f.u.

Geometry as POSCAR:
```
PaNbV2
1.0
0.000 3.261 3.261
3.261 0.000 3.261
3.261 3.261 0.000
Pa Nb V
1 1 2
direct
0.000 0.000 0.000 Pa
0.500 0.500 0.500 Nb
0.250 0.250 0.250 V
0.750 0.750 0.750 V
```



No. 4
First-principles (PBE-GGA) data for CoNiAu4 after structural relaxation, as listed in Alexandria.

## Properties
formation energy	3.6	eV/f.u.

Geometry as POSCAR:
```
CoNiAu4
1.0
0.000 3.809 3.809
3.809 0.000 3.809
3.809 3.809 0.000
Co Ni Au
1 1 4
direct
0.000 0.000 0.000 Co
0.250 0.250 0.250 Ni
0.125 0.625 0.625 Au
0.625 0.125 0.625 Au
0.625 0.625 0.125 Au
0.625 0.625 0.625 Au
```



No. 5
First-principles (PBE-GGA) data for Sr2InBiPd6 after structural relaxation, as listed in Alexandria.

## Properties
formation energy	-1.2	eV/f.u.

Geometry as POSCAR:
```
Sr2InBiPd6
1.0
0.000 5.099 5.099
5.099 0.000 5.099
5.099 5.099 0.000
Sr In Bi Pd
2 1 1 6
direct
0.250 0.250 0.250 Sr
0.750 0.750 0.750 Sr
0.000 0.000 0.000 In
0.500 0.500 0.500 Bi
0.248 0.248 0.752 Pd
0.248 0.752 0.248 Pd
0.248 0.752 0.752 Pd
0.752 0.248 0.248 Pd
0.752 0.248 0.752 Pd
0.752 0.752 0.248 Pd
```



No. 6
First-principles (PBE-GGA) data for EuEr2Mn after structural relaxation, as listed in Alexandria.

## Properties
formation energy	0.4	eV/f.u.

Geometry as POSCAR:
```
EuEr2Mn
1.0
3.511 0.000 0.000
0.000 3.511 0.000
0.000 0.000 9.119
Eu Er Mn
1 2 1
direct
0.000 0.000 0.000 Eu
0.500 0.500 0.317 Er
0.500 0.500 0.683 Er
0.000 0.000 0.500 Mn
```



| no. | magnetization (μB per formula unit) | E (eV per atom) |
| --- | --- | --- |
| 1 | 0.35 | -4.547 |
| 2 | 1.60 | -4.603 |
| 3 | 0.00 | -9.340 |
| 4 | 2.90 | -3.725 |
| 5 | 0.00 | -4.238 |
| 6 | 10.57 | -7.032 |